Entry 1:
Ce2TcMoN5: relaxed, GGA-PBE. Values from VASP.

Properties
- size of the total moment (μB per cell) = 0.00
- E_tot (eV per atom) = -9.184
- E_form (uncorrected) (kJ/mol of atoms) = -85
- density of states at the Fermi level (states/eV/atom) = 0.141
- space-group type = Cmc2_1

Structure (Quantum ESPRESSO input):
```
&SYSTEM
  ibrav = 0, nat = 18, ntyp = 4
/
ATOMIC_SPECIES
Ce 140.12 Ce.upf
Tc 98.00 Tc.upf
Mo 95.94 Mo.upf
N 14.01 N.upf
ATOMIC_POSITIONS crystal
Ce 0.110 0.890 0.500
Ce 0.143 0.857 0.127
Ce 0.857 0.143 0.627
Ce 0.890 0.110 0.000
Tc 0.459 0.541 0.279
Tc 0.541 0.459 0.779
Mo 0.197 0.803 0.829
Mo 0.803 0.197 0.329
N 0.051 0.949 0.896
N 0.282 0.718 0.472
N 0.315 0.685 0.192
N 0.366 0.634 0.818
N 0.492 0.508 0.602
N 0.508 0.492 0.102
N 0.634 0.366 0.318
N 0.685 0.315 0.692
N 0.718 0.282 0.972
N 0.949 0.051 0.396
CELL_PARAMETERS angstrom
1.629 -6.545 0.000
1.629 6.545 0.000
0.000 0.000 10.368
```

=====

Entry 2:
Pr2GdCl: relaxed, GGA-PBE. Values from VASP.

Properties
- distance to the lowest polymorph of the same formula (eV per formula unit) = 0.487
- size of the total moment (μB per cell) = 7.28
- E_tot (eV per atom) = -6.923
- E_form (uncorrected) (kJ/mol of atoms) = -53
- density of states at the Fermi level (states/eV/atom) = 1.160
- space-group type = P4/mmm

Structure (Quantum ESPRESSO input):
```
&SYSTEM
  ibrav = 0, nat = 4, ntyp = 3
/
ATOMIC_SPECIES
Pr 140.91 Pr.upf
Gd 157.25 Gd.upf
Cl 35.45 Cl.upf
ATOMIC_POSITIONS crystal
Pr 0.000 0.000 0.226
Pr 0.000 0.000 0.774
Gd 0.500 0.500 0.500
Cl 0.500 0.500 0.000
CELL_PARAMETERS angstrom
3.563 0.000 0.000
0.000 3.563 0.000
0.000 0.000 9.673
```